A relaxed Ce6SbP3S2 crystal, computed with PBE-GGA.

The structure in POSCAR format:
```
Ce6SbP3S2
1.0
9.041 -2.068 0.000
9.041 2.068 0.000
-1.943 0.000 8.092
Ce Sb P S
6 1 3 2
Cartesian
-0.507 0.000 2.186
4.112 0.000 7.400
5.237 0.000 3.358
10.901 0.000 4.734
12.026 0.000 0.692
16.646 0.000 5.906
9.041 0.000 0.000
1.356 0.000 6.726
8.069 0.000 4.046
14.783 0.000 1.366
2.396 0.000 2.715
13.742 0.000 5.377
```

Computed properties:
density of states at the Fermi level = 30.66 states/eV per cell
ΔE_f (raw) = -152.5 kJ per mole of atoms

=====

A relaxed OsRu crystal, computed with PBE-GGA.

The structure in POSCAR format:
```
OsRu
1.0
-1.323 2.315 2.532
1.323 -2.315 2.532
1.323 2.315 -2.532
Os Ru
1 1
Cartesian
0.000 0.000 0.000
0.000 0.000 2.532
```

Computed properties:
density of states at the Fermi level = 3.18 states/eV per cell
energy of formation from the pure elements = 1.03 eV per atom

=====

no.,VASP energy (eV/atom)
1,-6.9318
2,-9.2190